Entry 1:
Crystalline TaTiMo6 at its relaxed geometry, computed with PBE-GGA.

Computed properties:
SG   R-3m, No. 166
Total magnetization   0.000 Bohr magnetons per cell
Total DFT energy (no corrections)   -10.409 eV per atom
Calculated formation energy   182.4 meV/atom
Offset from the most stable computed form   2.61 eV per formula unit
V   16.419 A^3/atom
Density   10.17 Mg/m³

Lattice parameters (Å, degrees): 5.609 5.609 5.609 110.32 110.32 110.32
Fractional positions:
Ta 0.000 0.000 0.000
Ti 0.500 0.500 0.500
Mo 0.250 0.747 0.250
Mo 0.250 0.250 0.747
Mo 0.750 0.253 0.750
Mo 0.253 0.750 0.750
Mo 0.750 0.750 0.253
Mo 0.747 0.250 0.250



Entry 2:
Crystalline NaNd5Pb3 at its relaxed geometry, computed with PBE-GGA.

Computed properties:
SG   P6_3/mcm, No. 193
Total magnetization   0.008 Bohr magnetons per cell
Total DFT energy (no corrections)   -4.470 eV per atom
Calculated formation energy   -438.6 meV/atom
V   30.933 A^3/atom
Density   8.15 Mg/m³

Lattice parameters (Å, degrees): 6.698 9.797 9.797 120.00 90.00 90.00
Fractional positions:
Na 0.000 0.000 0.000
Na 0.500 0.000 0.000
Nd 0.000 0.667 0.333
Nd 0.500 0.333 0.667
Nd 0.000 0.333 0.667
Nd 0.500 0.667 0.333
Nd 0.750 0.684 0.684
Nd 0.750 0.000 0.316
Nd 0.750 0.316 0.000
Nd 0.250 0.316 0.316
Nd 0.250 0.000 0.684
Nd 0.250 0.684 0.000
Pb 0.750 0.347 0.347
Pb 0.750 0.000 0.653
Pb 0.750 0.653 0.000
Pb 0.250 0.653 0.653
Pb 0.250 0.000 0.347
Pb 0.250 0.347 0.000



Entry 3:
Crystalline U2AlGa at its relaxed geometry, computed with PBE-GGA.

Computed properties:
SG   C2/m, No. 12
Total magnetization   0.023 Bohr magnetons per cell
Total DFT energy (no corrections)   -7.375 eV per atom
Calculated formation energy   -38.3 meV/atom
V   19.180 A^3/atom
Density   12.40 Mg/m³

Lattice parameters (Å, degrees): 2.897 5.049 5.504 81.35 105.26 90.00
Fractional positions:
U 0.252 0.251 0.504
U 0.748 0.749 0.496
Al 0.500 0.500 0.000
Ga 0.000 0.000 0.000



Entry 4:
Crystalline MgSnH2Br at its relaxed geometry, computed with PBE-GGA.

Computed properties:
SG   P4/mmm, No. 123
Total magnetization   0.000 Bohr magnetons per cell
Total DFT energy (no corrections)   -2.647 eV per atom
Offset from the most stable computed form   0.00 eV per formula unit
V   21.720 A^3/atom
Density   3.44 Mg/m³

Lattice parameters (Å, degrees): 4.069 6.560 4.069 90.00 90.00 90.00
Fractional positions:
H 0.000 0.000 0.500
H 0.500 0.000 0.000
Mg 0.500 0.500 0.500
Sn 0.000 0.000 0.000
Br 0.000 0.500 0.000